A plane-wave DFT calculation with PBE was carried out for InIrOF2 after structural relaxation.

Cell: 4.574 4.574 3.751 Å, 90.00 90.00 90.00°
Space group P4/mmm (No. 123)
Asymmetric unit:
In 0.000 0.000 0.000 x1
Ir 0.500 0.500 0.500 x1
O 0.500 0.500 0.000 x1
F 0.000 0.500 0.500 x2

Computed properties:
Offset from the most stable computed form: 0 meV/atom
E_form (uncorrected): -897 meV per atom
Calculated density: 7642 kg/m³
DOS at the Fermi energy: 0.49 states/eV/atom
Raw total energy: -24.8 eV/cell